7
Lattice="3.7570 0.0000 0.0000 -1.8785 5.7854 0.2290 0.0000 0.3261 9.0563" Properties=species:S:1:pos:R:3 comment="Tl2Cd3Pb2, relaxed, DFT PBE" crystal_system=monoclinic density_g_cm3=9.803 spacegroup="C2/m, No. 12" e_form_ev_per_atom=0.027 pbc="T T T"
Cd 1.8785 2.5298 8.0608
Cd 0.0000 3.5817 1.2245
Cd 0.0000 0.0000 0.0000
Tl 0.0000 1.7539 5.3685
Tl 1.8785 4.3576 3.9168
Pb 0.0000 4.9109 6.9175
Pb 1.8785 1.2006 2.3678